w | A plane-wave DFT calculation with PBE was carried out for a relaxed ScPaZn crystal.

Values from the calculation:
Space group = No. 63
Calculated volume = 129 Å³/cell
Theoretical density = 8812 kg/m3

Unit cell a=3.157 b=4.994 c=8.311 alpha=90.00 beta=100.95 gamma=90.00
Fractional coordinates of all 6 atoms:
Zn: 0.434 0.250 0.868
Zn: 0.566 0.750 0.132
Sc: 0.919 0.750 0.838
Sc: 0.081 0.250 0.162
Pa: 0.770 0.250 0.540
Pa: 0.230 0.750 0.460

***

x | A plane-wave DFT calculation with PBE was carried out for a relaxed ScPaZn crystal.

Values from the calculation:
Space group = No. 156
Calculated volume = 66 Å³/cell
Theoretical density = 8564 kg/m3

Unit cell a=3.136 b=4.937 c=4.937 alpha=120.00 beta=90.00 gamma=90.00
Fractional coordinates of all 3 atoms:
Sc: 0.470 0.667 0.333
Zn: 0.539 0.333 0.667
Pa: 0.991 0.000 0.000

***

It is w that is the most stable of them.

***

w | A plane-wave DFT calculation with PBE was carried out for a relaxed Zr2ScPa crystal.

Values from the calculation:
Space group = No. 160
Calculated volume = 96 Å³/cell
Theoretical density = 7951 kg/m3

Unit cell a=3.208 b=3.208 c=10.898 alpha=81.53 beta=81.53 gamma=60.00
Fractional coordinates of all 4 atoms:
Zr: 0.083 0.083 0.751
Zr: 0.250 0.250 0.249
Sc: 0.667 0.667 0.999
Pa: 0.500 0.500 0.501

***

x | A plane-wave DFT calculation with PBE was carried out for a relaxed Zr2ScPa crystal.

Values from the calculation:
Space group = No. 166
Calculated volume = 96 Å³/cell
Theoretical density = 7916 kg/m3

Unit cell a=3.224 b=3.224 c=10.844 alpha=81.45 beta=81.45 gamma=60.00
Fractional coordinates of all 4 atoms:
Sc: 0.500 0.500 0.500
Pa: 0.000 0.000 0.000
Zr: 0.249 0.249 0.252
Zr: 0.751 0.751 0.748

***

y | A plane-wave DFT calculation with PBE was carried out for a relaxed Zr2ScPa crystal.

Values from the calculation:
Space group = No. 225
Calculated volume = 94 Å³/cell
Theoretical density = 8082 kg/m3

Unit cell a=5.107 b=5.107 c=5.107 alpha=60.00 beta=60.00 gamma=60.00
Fractional coordinates of all 4 atoms:
Sc: 0.500 0.500 0.500
Pa: 0.000 0.000 0.000
Zr: 0.250 0.250 0.250
Zr: 0.750 0.750 0.750

***

z | A plane-wave DFT calculation with PBE was carried out for a relaxed Zr2ScPa crystal.

Values from the calculation:
Space group = No. 156
Calculated volume = 97 Å³/cell
Theoretical density = 7817 kg/m3

Unit cell a=3.205 b=3.205 c=10.944 alpha=90.00 beta=90.00 gamma=120.00
Fractional coordinates of all 4 atoms:
Zr: 0.333 0.667 0.253
Zr: 0.667 0.333 0.756
Sc: 0.333 0.667 0.526
Pa: 0.000 0.000 0.009

***

It is w that is the most stable of them.

***

w | A plane-wave DFT calculation with PBE was carried out for a relaxed ZrScPa crystal.

Values from the calculation:
Space group = No. 187
Calculated volume = 72 Å³/cell
Theoretical density = 8522 kg/m3

Unit cell a=3.159 b=5.114 c=5.114 alpha=120.00 beta=90.00 gamma=90.00
Fractional coordinates of all 3 atoms:
Sc: 0.667 0.667 0.333
Pa: 0.167 0.333 0.667
Zr: 0.166 0.000 0.000

***

x | A plane-wave DFT calculation with PBE was carried out for a relaxed ZrScPa crystal.

Values from the calculation:
Space group = No. 63
Calculated volume = 146 Å³/cell
Theoretical density = 8369 kg/m3

Unit cell a=3.186 b=5.286 c=8.797 alpha=90.00 beta=100.43 gamma=90.00
Fractional coordinates of all 6 atoms:
Zr: 0.894 0.750 0.787
Zr: 0.106 0.250 0.213
Sc: 0.445 0.250 0.890
Sc: 0.555 0.750 0.110
Pa: 0.770 0.250 0.540
Pa: 0.230 0.750 0.460

***

y | A plane-wave DFT calculation with PBE was carried out for a relaxed ZrScPa crystal.

Values from the calculation:
Space group = No. 71
Calculated volume = 148 Å³/cell
Theoretical density = 8258 kg/m3

Unit cell a=5.265 b=6.058 c=6.058 alpha=94.74 beta=64.24 gamma=64.24
Fractional coordinates of all 6 atoms:
Sc: 0.000 0.836 0.164
Sc: 0.000 0.164 0.836
Zr: 0.500 0.672 0.328
Zr: 0.500 0.328 0.672
Pa: 0.780 0.720 0.720
Pa: 0.220 0.280 0.280

***

z | A plane-wave DFT calculation with PBE was carried out for a relaxed ZrScPa crystal.

Values from the calculation:
Space group = No. 107
Calculated volume = 71 Å³/cell
Theoretical density = 8563 kg/m3

Unit cell a=3.566 b=3.566 c=6.141 alpha=106.88 beta=106.88 gamma=90.00
Fractional coordinates of all 3 atoms:
Sc: 0.946 0.946 0.892
Pa: 0.279 0.279 0.558
Zr: 0.625 0.625 0.249

***

It is w that is the most stable of them.

***

w | A plane-wave DFT calculation with PBE was carried out for a relaxed Pa2SiSe crystal.

Values from the calculation:
Space group = No. 160
Calculated volume = 96 Å³/cell
Theoretical density = 9815 kg/m3

Unit cell a=3.872 b=3.872 c=7.744 alpha=75.52 beta=75.52 gamma=60.00
Fractional coordinates of all 4 atoms:
Pa: 0.077 0.077 0.769
Pa: 0.257 0.257 0.230
Si: 0.667 0.667 0.998
Se: 0.499 0.499 0.503

***

x | A plane-wave DFT calculation with PBE was carried out for a relaxed Pa2SiSe crystal.

Values from the calculation:
Space group = No. 141
Calculated volume = 383 Å³/cell
Theoretical density = 9872 kg/m3

Unit cell a=5.753 b=5.753 c=11.570 alpha=89.96 beta=90.00 gamma=90.00
Fractional coordinates of all 16 atoms:
Pa: 0.750 0.000 0.879
Pa: 0.250 0.000 0.121
Pa: 0.750 0.500 0.621
Pa: 0.250 0.500 0.379
Pa: 0.750 0.500 0.129
Pa: 0.250 0.500 0.871
Pa: 0.750 0.000 0.371
Pa: 0.250 0.000 0.629
Si: 0.250 0.500 0.625
Si: 0.750 0.500 0.375
Si: 0.250 0.000 0.875
Si: 0.750 0.000 0.125
Se: 0.250 0.000 0.375
Se: 0.750 0.000 0.625
Se: 0.250 0.500 0.125
Se: 0.750 0.500 0.875

***

It is x that is the most stable of them.

***

w | A plane-wave DFT calculation with PBE was carried out for a relaxed SmPaSe2 crystal.

Values from the calculation:
Space group = No. 123
Calculated volume = 91 Å³/cell
Theoretical density = 9803 kg/m3

Unit cell a=3.579 b=5.052 c=5.052 alpha=90.00 beta=90.00 gamma=90.00
Fractional coordinates of all 4 atoms:
Pa: 0.500 0.000 0.000
Se: 0.000 0.000 0.500
Se: 0.000 0.500 0.000
Sm: 0.500 0.500 0.500

***

x | A plane-wave DFT calculation with PBE was carried out for a relaxed SmPaSe2 crystal.

Values from the calculation:
Space group = No. 51
Calculated volume = 200 Å³/cell
Theoretical density = 8951 kg/m3

Unit cell a=3.790 b=7.927 c=6.660 alpha=90.00 beta=90.00 gamma=90.00
Fractional coordinates of all 8 atoms:
Sm: 0.500 0.000 0.500
Sm: 0.500 0.500 0.500
Pa: 0.000 0.500 0.000
Pa: 0.000 0.000 0.000
Se: 0.500 0.750 0.839
Se: 0.500 0.250 0.161
Se: 0.000 0.250 0.675
Se: 0.000 0.750 0.325

***

y | A plane-wave DFT calculation with PBE was carried out for a relaxed SmPaSe2 crystal.

Values from the calculation:
Space group = No. 225
Calculated volume = 91 Å³/cell
Theoretical density = 9866 kg/m3

Unit cell a=5.045 b=5.045 c=5.045 alpha=60.00 beta=60.00 gamma=60.00
Fractional coordinates of all 4 atoms:
Pa: 0.000 0.000 0.000
Se: 0.250 0.250 0.250
Se: 0.750 0.750 0.750
Sm: 0.500 0.500 0.500

***

It is x that is the most stable of them.

***

w | A plane-wave DFT calculation with PBE was carried out for a relaxed Sm3PaSe6 crystal.

Values from the calculation:
Space group = No. 36
Calculated volume = 576 Å³/cell
Theoretical density = 6668 kg/m3

Unit cell a=7.193 b=9.043 c=9.043 alpha=101.81 beta=90.00 gamma=90.00
Fractional coordinates of all 20 atoms:
Sm: 0.486 0.913 0.711
Sm: 0.986 0.711 0.913
Sm: 0.378 0.405 0.595
Sm: 0.878 0.595 0.405
Sm: 0.986 0.087 0.289
Sm: 0.486 0.289 0.087
Pa: 0.994 0.163 0.837
Pa: 0.494 0.837 0.163
Se: 0.179 0.697 0.628
Se: 0.679 0.628 0.697
Se: 0.200 0.431 0.902
Se: 0.700 0.902 0.431
Se: 0.254 0.008 0.992
Se: 0.629 0.230 0.770
Se: 0.129 0.770 0.230
Se: 0.754 0.992 0.008
Se: 0.200 0.098 0.569
Se: 0.700 0.569 0.098
Se: 0.179 0.372 0.303
Se: 0.679 0.303 0.372

***

x | A plane-wave DFT calculation with PBE was carried out for a relaxed Sm3PaSe6 crystal.

Values from the calculation:
Space group = No. 11
Calculated volume = 552 Å³/cell
Theoretical density = 6960 kg/m3

Unit cell a=4.126 b=11.699 c=12.007 alpha=107.89 beta=90.00 gamma=90.00
Fractional coordinates of all 20 atoms:
Sm: 0.750 0.421 0.834
Sm: 0.250 0.579 0.166
Sm: 0.750 0.679 0.503
Sm: 0.250 0.321 0.497
Sm: 0.750 0.159 0.077
Sm: 0.250 0.841 0.923
Pa: 0.750 0.044 0.695
Pa: 0.250 0.956 0.305
Se: 0.750 0.482 0.619
Se: 0.250 0.518 0.381
Se: 0.750 0.918 0.105
Se: 0.250 0.082 0.895
Se: 0.750 0.401 0.071
Se: 0.250 0.599 0.929
Se: 0.750 0.756 0.282
Se: 0.250 0.244 0.718
Se: 0.750 0.110 0.463
Se: 0.250 0.890 0.537
Se: 0.750 0.812 0.749
Se: 0.250 0.188 0.251

***

It is x that is the most stable of them.

***

w | A plane-wave DFT calculation with PBE was carried out for a relaxed SmPa2Se4 crystal.

Values from the calculation:
Space group = No. 63
Calculated volume = 371 Å³/cell
Theoretical density = 8305 kg/m3

Unit cell a=3.934 b=6.884 c=14.305 alpha=90.00 beta=90.00 gamma=106.60
Fractional coordinates of all 14 atoms:
Sm: 0.609 0.218 0.750
Sm: 0.391 0.782 0.250
Pa: 0.144 0.289 0.438
Pa: 0.856 0.711 0.938
Pa: 0.144 0.289 0.062
Pa: 0.856 0.711 0.562
Se: 0.786 0.572 0.131
Se: 0.786 0.572 0.369
Se: 0.214 0.428 0.869
Se: 0.214 0.428 0.631
Se: 0.943 0.885 0.750
Se: 0.057 0.115 0.250
Se: 0.500 0.000 0.000
Se: 0.500 0.000 0.500

***

x | A plane-wave DFT calculation with PBE was carried out for a relaxed SmPa2Se4 crystal.

Values from the calculation:
Space group = No. 122
Calculated volume = 379 Å³/cell
Theoretical density = 8139 kg/m3

Unit cell a=7.895 b=7.895 c=7.895 alpha=109.02 beta=110.37 gamma=109.02
Fractional coordinates of all 14 atoms:
Sm: 0.750 0.500 0.250
Sm: 0.000 0.000 0.000
Pa: 0.375 0.771 0.646
Pa: 0.396 0.271 0.625
Pa: 0.875 0.229 0.604
Pa: 0.354 0.729 0.125
Se: 0.713 0.207 0.883
Se: 0.037 0.670 0.745
Se: 0.675 0.793 0.505
Se: 0.075 0.330 0.367
Se: 0.495 0.170 0.287
Se: 0.633 0.707 0.963
Se: 0.255 0.293 0.925
Se: 0.117 0.830 0.325

***

It is w that is the most stable of them.

***

w | A plane-wave DFT calculation with PBE was carried out for a relaxed SmPa2Se6 crystal.

Values from the calculation:
Space group = No. 121
Calculated volume = 294 Å³/cell
Theoretical density = 6126 kg/m3

Unit cell a=5.331 b=5.331 c=11.025 alpha=103.99 beta=103.99 gamma=90.00
Fractional coordinates of all 9 atoms:
Sm: 0.500 0.500 0.000
Pa: 0.187 0.187 0.373
Pa: 0.813 0.813 0.627
Se: 0.858 0.326 0.184
Se: 0.674 0.674 0.816
Se: 0.326 0.858 0.184
Se: 0.142 0.142 0.816
Se: 0.750 0.250 0.500
Se: 0.250 0.750 0.500

***

x | A plane-wave DFT calculation with PBE was carried out for a relaxed SmPa2Se6 crystal.

Values from the calculation:
Space group = No. 12
Calculated volume = 316 Å³/cell
Theoretical density = 5712 kg/m3

Unit cell a=4.214 b=8.469 c=9.326 alpha=102.76 beta=103.06 gamma=90.00
Fractional coordinates of all 9 atoms:
Sm: 0.500 0.000 0.000
Pa: 0.834 0.672 0.669
Pa: 0.166 0.328 0.331
Se: 0.333 0.894 0.666
Se: 0.011 0.244 0.021
Se: 0.673 0.559 0.346
Se: 0.989 0.756 0.979
Se: 0.667 0.106 0.334
Se: 0.327 0.441 0.654

***

It is x that is the most stable of them.

***

w | A plane-wave DFT calculation with PBE was carried out for a relaxed Sm2Pa2Se7 crystal.

Values from the calculation:
Space group = No. 44
Calculated volume = 277 Å³/cell
Theoretical density = 7885 kg/m3

Unit cell a=4.088 b=8.978 c=8.978 alpha=60.64 beta=76.84 gamma=76.84
Fractional coordinates of all 11 atoms:
Sm: 0.739 0.850 0.672
Sm: 0.261 0.328 0.150
Pa: 0.000 0.782 0.218
Pa: 0.500 0.333 0.667
Se: 0.819 0.067 0.294
Se: 0.866 0.415 0.852
Se: 0.500 0.013 0.987
Se: 0.607 0.499 0.286
Se: 0.393 0.714 0.501
Se: 0.181 0.706 0.933
Se: 0.134 0.148 0.585

***

x | A plane-wave DFT calculation with PBE was carried out for a relaxed Sm2Pa2Se7 crystal.

Values from the calculation:
Space group = No. 44
Calculated volume = 275 Å³/cell
Theoretical density = 7932 kg/m3

Unit cell a=4.057 b=8.964 c=8.964 alpha=61.09 beta=76.92 gamma=76.92
Fractional coordinates of all 11 atoms:
Sm: 0.000 0.781 0.219
Sm: 0.500 0.325 0.675
Pa: 0.739 0.854 0.667
Pa: 0.261 0.333 0.146
Se: 0.816 0.076 0.292
Se: 0.856 0.423 0.865
Se: 0.500 0.011 0.989
Se: 0.613 0.491 0.283
Se: 0.387 0.717 0.509
Se: 0.184 0.708 0.924
Se: 0.144 0.135 0.577

***

It is w that is the most stable of them.

***

w | A plane-wave DFT calculation with PBE was carried out for a relaxed Pa2SnSe crystal.

Values from the calculation:
Space group = No. 166
Calculated volume = 98 Å³/cell
Theoretical density = 11136 kg/m3

Unit cell a=3.453 b=3.453 c=9.731 alpha=79.78 beta=79.78 gamma=60.00
Fractional coordinates of all 4 atoms:
Pa: 0.741 0.741 0.777
Pa: 0.259 0.259 0.223
Sn: 0.500 0.500 0.500
Se: 0.000 0.000 0.000

***

x | A plane-wave DFT calculation with PBE was carried out for a relaxed Pa2SnSe crystal.

Values from the calculation:
Space group = No. 123
Calculated volume = 96 Å³/cell
Theoretical density = 11412 kg/m3

Unit cell a=3.477 b=3.477 c=7.939 alpha=90.00 beta=90.00 gamma=90.00
Fractional coordinates of all 4 atoms:
Pa: 0.000 0.000 0.772
Pa: 0.000 0.000 0.228
Sn: 0.500 0.500 0.500
Se: 0.500 0.500 0.000

***

It is w that is the most stable of them.